Record 1
ErCrF5: optimized geometry, PBE with a Hubbard U.

```
14
Lattice="4.4494 -3.6343 0.0000 4.4494 3.6343 0.0000 -2.7821 0.0000 6.7508" Properties=species:S:1:pos:R:3 pbc="T T T"
Er 2.3629 3.2360 5.0631
Er 3.7539 -3.2360 1.6877
Cr 4.4494 0.0000 0.0000
Cr 3.0584 0.0000 3.3754
F 4.2393 2.4065 0.2602
F 3.2685 2.4065 3.1152
F 1.2878 0.2839 2.4928
F -0.1033 -0.2839 5.8683
F 2.3629 0.9488 5.0631
F 3.7539 -0.9488 1.6877
F 6.2201 0.2839 0.8826
F 4.8290 -0.2839 4.2580
F 2.8482 -2.4065 3.6357
F 1.8775 -2.4065 6.4906
```

The symmetry is No. 15.

***

Record 2
ErCrF5: optimized geometry, PBE with a Hubbard U.

```
28
Lattice="5.6948 0.0000 0.0000 0.0000 10.5411 0.0000 -2.2585 0.0000 8.1476" Properties=species:S:1:pos:R:3 pbc="T T T"
Er -0.3930 2.5594 2.9214
Er -1.5223 2.7112 6.9952
Er 4.9585 7.8299 1.1523
Er 3.8293 7.9817 5.2261
Cr 1.2162 5.2915 5.7817
Cr 2.3454 10.5201 1.7079
Cr 1.0908 0.0210 6.4397
Cr 2.2201 5.2496 2.3659
F -0.7582 2.1822 5.0189
F 0.3711 3.0884 0.9451
F 0.6446 6.3703 1.8651
F -0.4847 9.4413 5.9389
F -0.3036 6.5222 5.3801
F 0.8257 9.2894 1.3063
F 1.1703 1.0710 2.9107
F 0.0410 4.1995 6.9845
F -0.1213 1.1376 7.6570
F 1.0079 4.1329 3.5833
F 2.4283 6.4082 4.5643
F 3.5576 9.4034 0.4905
F 3.3953 6.3415 1.1631
F 2.2660 9.4701 5.2369
F 2.6106 1.2516 6.8413
F 3.7398 4.0189 2.7675
F 3.9209 1.0998 2.2087
F 2.7917 4.1707 6.2825
F 3.0651 7.4527 7.2025
F 4.1944 8.3589 3.1287
```

The symmetry is No. 14.

***

| no. | total energy (eV/atom) | energy above the most stable polymorph in this dataset (eV per atom) | Fermi-level density of states (states/eV/atom) |
| --- | --- | --- | --- |
| 1 | -6.529 | 0.0000 | 0.00 |
| 2 | -6.515 | 0.0145 | 0.00 |